Entry 1:
A plane-wave DFT calculation with GGA-PBE was carried out for an optimized crystal structure of Nd2Y6HoEr3.

Results
For the formation energy, the calculation gives 0.0214 eV per atom. As for the symmetry: No. 12.

abc: 6.182 6.182 11.824
angles: 94.98 94.98 119.95
Fractional coordinates of all 12 atoms:
Nd: 0.167 0.833 0.000
Nd: 0.833 0.167 0.000
Y: 0.083 0.415 0.747
Y: 0.252 0.252 0.253
Y: 0.415 0.083 0.747
Y: 0.585 0.917 0.253
Y: 0.748 0.748 0.747
Y: 0.917 0.585 0.253
Ho: 0.500 0.500 0.000
Er: 0.000 0.000 0.500
Er: 0.334 0.666 0.500
Er: 0.666 0.334 0.500

Entry 2:
A plane-wave DFT calculation with GGA-PBE was carried out for an optimized crystal structure of Er2RuC2.

Results
For the formation energy, the calculation gives -0.1017 eV per atom. As for the symmetry: No. 12. The energy relative to the lowest polymorph listed for this composition is 0.259 eV/atom.

abc: 5.792 5.792 9.299
angles: 117.50 117.50 33.89
Fractional coordinates of all 10 atoms:
Er: 0.025 0.025 0.177
Er: 0.149 0.149 0.586
Er: 0.851 0.851 0.414
Er: 0.975 0.975 0.823
Ru: 0.279 0.279 0.122
Ru: 0.721 0.721 0.878
C: 0.335 0.335 0.916
C: 0.475 0.475 0.332
C: 0.525 0.525 0.668
C: 0.665 0.665 0.084

Entry 3:
A plane-wave DFT calculation with GGA-PBE was carried out for an optimized crystal structure of TbTm4Se6.

Results
As for the symmetry: No. 63. The value obtained for the formation energy without anion corrections is -1777 meV/atom.

abc: 6.894 6.894 20.520
angles: 90.00 90.00 146.68
Fractional coordinates of all 22 atoms:
Tb: 0.152 0.848 0.750
Tb: 0.848 0.152 0.250
Tm: 0.090 0.910 0.126
Tm: 0.090 0.910 0.374
Tm: 0.360 0.640 0.038
Tm: 0.360 0.640 0.462
Tm: 0.640 0.360 0.538
Tm: 0.640 0.360 0.962
Tm: 0.910 0.090 0.626
Tm: 0.910 0.090 0.874
Se: 0.000 0.000 0.000
Se: 0.000 0.000 0.500
Se: 0.188 0.812 0.250
Se: 0.268 0.732 0.590
Se: 0.268 0.732 0.910
Se: 0.449 0.551 0.165
Se: 0.449 0.551 0.335
Se: 0.551 0.449 0.665
Se: 0.551 0.449 0.835
Se: 0.732 0.268 0.090
Se: 0.732 0.268 0.410
Se: 0.812 0.188 0.750

Entry 4:
A plane-wave DFT calculation with GGA-PBE was carried out for an optimized crystal structure of YMo2AsPd.

Results
For the formation energy, the calculation gives 2.1143 eV per atom. As for the symmetry: No. 123.

abc: 4.870 4.870 5.148
angles: 90.00 90.00 90.00
Fractional coordinates of all 5 atoms:
Y: 0.000 0.000 0.000
Mo: 0.000 0.500 0.000
Mo: 0.500 0.000 0.000
As: 0.000 0.000 0.500
Pd: 0.500 0.500 0.500

Entry 5:
A plane-wave DFT calculation with GGA-PBE was carried out for an optimized crystal structure of Ba2P3Pd.

Results
For the formation energy, the calculation gives -0.9087 eV per atom. As for the symmetry: No. 14. The energy relative to the lowest polymorph listed for this composition is 0.000 eV/atom.

abc: 6.547 7.242 12.997
angles: 90.00 91.58 90.00
Fractional coordinates of all 24 atoms:
Ba: 0.122 0.244 0.165
Ba: 0.122 0.256 0.665
Ba: 0.337 0.749 0.561
Ba: 0.337 0.751 0.061
Ba: 0.663 0.249 0.939
Ba: 0.663 0.251 0.439
Ba: 0.878 0.744 0.335
Ba: 0.878 0.756 0.835
P: 0.181 0.110 0.905
P: 0.181 0.390 0.405
P: 0.186 0.089 0.405
P: 0.186 0.411 0.905
P: 0.404 0.573 0.808
P: 0.404 0.927 0.308
P: 0.596 0.073 0.692
P: 0.596 0.427 0.192
P: 0.814 0.589 0.095
P: 0.814 0.911 0.595
P: 0.819 0.610 0.595
P: 0.819 0.890 0.095
Pd: 0.383 0.598 0.308
Pd: 0.383 0.902 0.808
Pd: 0.617 0.098 0.192
Pd: 0.617 0.402 0.692

Entry 6:
A plane-wave DFT calculation with GGA-PBE was carried out for an optimized crystal structure of ReIr8Ru2.

Results
For the formation energy, the calculation gives 0.1139 eV per atom. As for the symmetry: No. 71.

abc: 7.170 7.170 7.170
angles: 149.07 115.79 72.97
Fractional coordinates of all 11 atoms:
Re: 0.000 0.000 0.000
Ir: 0.088 0.836 0.252
Ir: 0.171 0.671 0.500
Ir: 0.252 0.500 0.752
Ir: 0.416 0.164 0.252
Ir: 0.584 0.836 0.748
Ir: 0.748 0.500 0.248
Ir: 0.829 0.329 0.500
Ir: 0.912 0.164 0.748
Ru: 0.333 0.333 0.000
Ru: 0.667 0.667 0.000

Number 1: V 32.1 Å³/atom, mass density 6.4 Mg/m³. Number 2: V 15.2 Å³/atom, mass density 10.0 Mg/m³. Number 3: V 24.3 Å³/atom, mass density 8.1 Mg/m³. Number 4: V 24.4 Å³/atom, mass density 6.3 Mg/m³. Number 5: V 25.7 Å³/atom, mass density 5.1 Mg/m³. Number 6: V 15.3 Å³/atom, mass density 19.0 Mg/m³.